[1]
MgIr2Cl | PBE | relaxed

Structure (CIF):
```
data_MgIr2Cl
_cell_length_a 2.9273
_cell_length_b 2.9273
_cell_length_c 32.1428
_cell_angle_alpha 90.00
_cell_angle_beta 90.00
_cell_angle_gamma 120.00
_space_group_name_H-M_alt 'R 3 m'
_space_group_IT_number 160
_space_group_name_Hall 'R 3 -2"'
loop_
_atom_site_label
_atom_site_type_symbol
_atom_site_fract_x
_atom_site_fract_y
_atom_site_fract_z
Mg1 Mg 0.0000 0.0000 0.0000
Ir1 Ir 0.0000 0.0000 0.2639
Ir2 Ir 0.0000 0.0000 0.5332
Cl1 Cl 0.0000 0.0000 0.7182
```

Computed properties:
E above lowest polymorph in kJ/mol of atoms: 8.09
VASP energy in eV per cell: -63.5
E_form (uncorrected) in eV per atom: 0.001

---

[2]
MgIr2Cl | PBE | relaxed

Structure (CIF):
```
data_MgIr2Cl
_cell_length_a 2.9507
_cell_length_b 3.7197
_cell_length_c 7.2526
_cell_angle_alpha 90.00
_cell_angle_beta 94.73
_cell_angle_gamma 90.00
_space_group_name_H-M_alt 'P 1 m 1'
_space_group_IT_number 6
_space_group_name_Hall 'P -2y'
loop_
_atom_site_label
_atom_site_type_symbol
_atom_site_fract_x
_atom_site_fract_y
_atom_site_fract_z
Mg1 Mg 0.0000 0.0000 0.0000
Ir1 Ir 0.3892 0.5000 0.7409
Ir2 Ir 0.8684 0.0000 0.6197
Cl1 Cl 0.7297 0.5000 0.2011
```

Computed properties:
E above lowest polymorph in kJ/mol of atoms: 3.47
VASP energy in eV per cell: -21.3
E_form (uncorrected) in eV per atom: -0.047

---

[3]
MgIr2Cl | PBE | relaxed

Structure (CIF):
```
data_MgIr2Cl
_cell_length_a 2.8555
_cell_length_b 4.2162
_cell_length_c 5.4751
_cell_angle_alpha 90.00
_cell_angle_beta 90.00
_cell_angle_gamma 90.00
_space_group_name_H-M_alt 'P m m m'
_space_group_IT_number 47
_space_group_name_Hall '-P 2 2'
loop_
_atom_site_label
_atom_site_type_symbol
_atom_site_fract_x
_atom_site_fract_y
_atom_site_fract_z
Mg1 Mg 0.0000 0.0000 0.0000
Ir1 Ir 0.5000 0.5000 0.2262
Cl1 Cl 0.0000 0.0000 0.5000
```

Computed properties:
E above lowest polymorph in kJ/mol of atoms: 54.43
VASP energy in eV per cell: -19.2
E_form (uncorrected) in eV per atom: 0.482

---

[4]
MgIr2Cl | PBE | relaxed

Structure (CIF):
```
data_MgIr2Cl
_cell_length_a 5.3742
_cell_length_b 9.5646
_cell_length_c 2.9123
_cell_angle_alpha 90.00
_cell_angle_beta 121.51
_cell_angle_gamma 90.00
_space_group_name_H-M_alt 'C 1 2/m 1'
_space_group_IT_number 12
_space_group_name_Hall '-C 2y'
loop_
_atom_site_label
_atom_site_type_symbol
_atom_site_fract_x
_atom_site_fract_y
_atom_site_fract_z
Mg1 Mg 0.0000 0.0000 0.0000
Ir1 Ir 0.2500 0.2500 0.5000
Cl1 Cl 0.0000 0.5000 0.0000
```

Computed properties:
E above lowest polymorph in kJ/mol of atoms: 29.38
VASP energy in eV per cell: -40.6
E_form (uncorrected) in eV per atom: 0.222

---

[5]
MgIrCl2 | PBE | relaxed

Structure (CIF):
```
data_MgIrCl2
_cell_length_a 4.4373
_cell_length_b 4.4373
_cell_length_c 15.5972
_cell_angle_alpha 90.00
_cell_angle_beta 90.00
_cell_angle_gamma 90.00
_space_group_name_H-M_alt 'I -4 2 d'
_space_group_IT_number 122
_space_group_name_Hall 'I -4 2bw'
loop_
_atom_site_label
_atom_site_type_symbol
_atom_site_fract_x
_atom_site_fract_y
_atom_site_fract_z
Mg1 Mg 0.0000 0.0000 0.0000
Ir1 Ir 0.0000 0.0000 0.5000
Cl1 Cl 0.2326 0.2500 0.6250
```

Computed properties:
E above lowest polymorph in kJ/mol of atoms: 39.42
VASP energy in eV per cell: -57.3
E_form (uncorrected) in eV per atom: -0.047

---

[6]
MgIrCl | PBE | relaxed

Structure (CIF):
```
data_MgIrCl
_cell_length_a 3.9577
_cell_length_b 3.9577
_cell_length_c 7.6873
_cell_angle_alpha 90.00
_cell_angle_beta 90.00
_cell_angle_gamma 90.00
_space_group_name_H-M_alt 'P 4/n m m'
_space_group_IT_number 129
loop_
_space_group_symop_operation_xyz
'x,y,z'
'-x,-y,-z'
'-y+1/2,x,z'
'y+1/2,-x,-z'
'-x+1/2,-y+1/2,z'
'x+1/2,y+1/2,-z'
'y,-x+1/2,z'
'-y,x+1/2,-z'
'x+1/2,-y,-z'
'-x+1/2,y,z'
'-y,-x,-z'
'y,x,z'
'-x,y+1/2,-z'
'x,-y+1/2,z'
'y+1/2,x+1/2,-z'
'-y+1/2,-x+1/2,z'
loop_
_atom_site_label
_atom_site_type_symbol
_atom_site_fract_x
_atom_site_fract_y
_atom_site_fract_z
Mg1 Mg 0.2500 0.2500 0.1998
Ir1 Ir 0.2500 0.2500 0.5230
Cl1 Cl 0.2500 0.7500 0.0000
```

Computed properties:
E above lowest polymorph in kJ/mol of atoms: 55.84
VASP energy in eV per cell: -25.4
E_form (uncorrected) in eV per atom: -0.130

---

[7]
MgIrCl2 | PBE | relaxed

Structure (CIF):
```
data_MgIrCl2
_cell_length_a 3.1803
_cell_length_b 3.1803
_cell_length_c 36.8881
_cell_angle_alpha 90.00
_cell_angle_beta 90.00
_cell_angle_gamma 120.00
_space_group_name_H-M_alt 'R -3 m'
_space_group_IT_number 166
_space_group_name_Hall '-R 3 2"'
loop_
_atom_site_label
_atom_site_type_symbol
_atom_site_fract_x
_atom_site_fract_y
_atom_site_fract_z
Mg1 Mg 0.0000 0.0000 0.0000
Ir1 Ir 0.0000 0.0000 0.5000
Cl1 Cl 0.0000 0.0000 0.2914
```

Computed properties:
E above lowest polymorph in kJ/mol of atoms: 25.89
VASP energy in eV per cell: -44.7
E_form (uncorrected) in eV per atom: -0.187

---

[8]
MgIrCl2 | PBE | relaxed

Structure (CIF):
```
data_MgIrCl2
_cell_length_a 6.6547
_cell_length_b 6.6547
_cell_length_c 6.6547
_cell_angle_alpha 90.00
_cell_angle_beta 90.00
_cell_angle_gamma 90.00
_space_group_name_H-M_alt 'F -4 3 m'
_space_group_IT_number 216
_space_group_name_Hall 'F -4 2 3'
loop_
_atom_site_label
_atom_site_type_symbol
_atom_site_fract_x
_atom_site_fract_y
_atom_site_fract_z
Mg1 Mg 0.0000 0.0000 0.0000
Ir1 Ir 0.2500 0.2500 0.7500
Cl1 Cl 0.0000 0.0000 0.5000
Cl2 Cl 0.2500 0.2500 0.2500
```

Computed properties:
E above lowest polymorph in kJ/mol of atoms: 91.17
VASP energy in eV per cell: -48.8
E_form (uncorrected) in eV per atom: 0.490

---

[9]
MgIrCl2 | PBE | relaxed

Structure (CIF):
```
data_MgIrCl2
_cell_length_a 3.5005
_cell_length_b 4.9707
_cell_length_c 11.5641
_cell_angle_alpha 90.00
_cell_angle_beta 90.00
_cell_angle_gamma 90.00
_space_group_name_H-M_alt 'C m m m'
_space_group_IT_number 65
_space_group_name_Hall '-C 2 2'
loop_
_atom_site_label
_atom_site_type_symbol
_atom_site_fract_x
_atom_site_fract_y
_atom_site_fract_z
Mg1 Mg 0.0000 0.0000 0.0000
Ir1 Ir 0.0000 0.0000 0.5000
Cl1 Cl 0.0000 0.5000 0.1389
```

Computed properties:
E above lowest polymorph in kJ/mol of atoms: 42.62
VASP energy in eV per cell: -28.4
E_form (uncorrected) in eV per atom: -0.014

---

[10]
MgIrCl2 | PBE | relaxed

Structure (CIF):
```
data_MgIrCl2
_cell_length_a 3.2647
_cell_length_b 5.6848
_cell_length_c 9.2397
_cell_angle_alpha 90.00
_cell_angle_beta 90.00
_cell_angle_gamma 90.00
_space_group_name_H-M_alt 'C m m 2'
_space_group_IT_number 35
_space_group_name_Hall 'C 2 -2'
loop_
_atom_site_label
_atom_site_type_symbol
_atom_site_fract_x
_atom_site_fract_y
_atom_site_fract_z
Mg1 Mg 0.0000 0.0000 0.0000
Ir1 Ir 0.0000 0.5000 0.7569
Cl1 Cl 0.0000 0.0000 0.5765
Cl2 Cl 0.0000 0.5000 0.1823
```

Computed properties:
E above lowest polymorph in kJ/mol of atoms: 17.48
VASP energy in eV per cell: -30.5
E_form (uncorrected) in eV per atom: -0.274

---

[11]
MgIrCl | PBE | relaxed

Structure (CIF):
```
data_MgIrCl
_cell_length_a 4.2841
_cell_length_b 4.2841
_cell_length_c 3.1335
_cell_angle_alpha 90.00
_cell_angle_beta 90.00
_cell_angle_gamma 120.00
_space_group_name_H-M_alt 'P -6 m 2'
_space_group_IT_number 187
_space_group_name_Hall 'P -6 2'
loop_
_atom_site_label
_atom_site_type_symbol
_atom_site_fract_x
_atom_site_fract_y
_atom_site_fract_z
Mg1 Mg 0.0000 0.0000 0.0000
Ir1 Ir 0.3333 0.6667 0.5000
Cl1 Cl 0.6667 0.3333 0.5000
```

Computed properties:
E above lowest polymorph in kJ/mol of atoms: 79.30
VASP energy in eV per cell: -12.0
E_form (uncorrected) in eV per atom: 0.113

---

[12]
MgIr2Cl | PBE | relaxed

Structure (CIF):
```
data_MgIr2Cl
_cell_length_a 6.2971
_cell_length_b 6.2971
_cell_length_c 6.2971
_cell_angle_alpha 90.00
_cell_angle_beta 90.00
_cell_angle_gamma 90.00
_space_group_name_H-M_alt 'F m -3 m'
_space_group_IT_number 225
_space_group_name_Hall '-F 4 2 3'
loop_
_atom_site_label
_atom_site_type_symbol
_atom_site_fract_x
_atom_site_fract_y
_atom_site_fract_z
Mg1 Mg 0.0000 0.0000 0.0000
Ir1 Ir 0.2500 0.2500 0.2500
Cl1 Cl 0.0000 0.0000 0.5000
```

Computed properties:
E above lowest polymorph in kJ/mol of atoms: 81.79
VASP energy in eV per cell: -72.4
E_form (uncorrected) in eV per atom: 0.765

---

[13]
MgIrCl | PBE | relaxed

Structure (CIF):
```
data_MgIrCl
_cell_length_a 4.1291
_cell_length_b 4.1291
_cell_length_c 7.3398
_cell_angle_alpha 90.00
_cell_angle_beta 90.00
_cell_angle_gamma 120.00
_space_group_name_H-M_alt 'P 63/m m c'
_space_group_IT_number 194
_space_group_name_Hall '-P 6c 2c'
loop_
_atom_site_label
_atom_site_type_symbol
_atom_site_fract_x
_atom_site_fract_y
_atom_site_fract_z
Mg1 Mg 0.0000 0.0000 0.0000
Ir1 Ir 0.3333 0.6667 0.2500
Cl1 Cl 0.3333 0.6667 0.7500
```

Computed properties:
E above lowest polymorph in kJ/mol of atoms: 102.00
VASP energy in eV per cell: -22.5
E_form (uncorrected) in eV per atom: 0.349

---

[14]
MgIrCl2 | PBE | relaxed

Structure (CIF):
```
data_MgIrCl2
_cell_length_a 2.9783
_cell_length_b 2.9783
_cell_length_c 11.3619
_cell_angle_alpha 90.00
_cell_angle_beta 90.00
_cell_angle_gamma 90.00
_space_group_name_H-M_alt 'P 4/m m m'
_space_group_IT_number 123
_space_group_name_Hall '-P 4 2'
loop_
_atom_site_label
_atom_site_type_symbol
_atom_site_fract_x
_atom_site_fract_y
_atom_site_fract_z
Mg1 Mg 0.0000 0.0000 0.0000
Ir1 Ir 0.0000 0.0000 0.5000
Cl1 Cl 0.5000 0.5000 0.1342
```

Computed properties:
E above lowest polymorph in kJ/mol of atoms: 44.75
VASP energy in eV per cell: -14.1
E_form (uncorrected) in eV per atom: 0.008

---

[15]
MgIrCl6 | PBE | relaxed

Structure (CIF):
```
data_MgIrCl6
_cell_length_a 6.1434
_cell_length_b 6.1434
_cell_length_c 16.4366
_cell_angle_alpha 90.00
_cell_angle_beta 90.00
_cell_angle_gamma 120.00
_space_group_name_H-M_alt 'R -3'
_space_group_IT_number 148
_space_group_name_Hall '-R 3'
loop_
_atom_site_label
_atom_site_type_symbol
_atom_site_fract_x
_atom_site_fract_y
_atom_site_fract_z
Mg1 Mg 0.0000 0.0000 0.0000
Ir1 Ir 0.0000 0.0000 0.5000
Cl1 Cl 0.0031 0.6873 0.4190
```

Computed properties:
E above lowest polymorph in kJ/mol of atoms: 6.88
VASP energy in eV per cell: -85.2
E_form (uncorrected) in eV per atom: -0.858